A plane-wave DFT calculation with PBE was carried out for a relaxed structure of TlPd2Pb2.

Unit cell a=8.2901 b=8.2901 c=8.2901 alpha=151.67 beta=151.67 gamma=40.50
Last column: nearest neighbours and their distance in Å.
Fractional positions:
Tl  0.0000  0.0000  0.0000  8 Pb 3.47
Pd  0.2500  0.7500  0.5000  4 Pb 2.80, 4 Pd 2.87
Pd  0.7500  0.2500  0.5000  4 Pb 2.80, 4 Pd 2.87
Pb  0.3744  0.3744  0.0000  4 Pd 2.80
Pb  0.6256  0.6256  0.0000  4 Pd 2.80

Summary:
Density of states at the Fermi level = 2.70 states/eV/f.u.
Space group = I4/mmm, No. 139
Size of the total moment = 0.00 Bohr magnetons per cell
Energy of formation = -82 meV/atom
E_tot = -4.12 eV per atom

***

A plane-wave DFT calculation with PBE was carried out for a relaxed structure of Tl2Pd3Pb.

Unit cell a=7.7258 b=4.4284 c=8.0382 alpha=90.00 beta=108.25 gamma=90.00
Last column: nearest neighbours and their distance in Å.
Fractional positions:
Tl  0.0265  0.2500  0.3303  6 Pd 2.86-3.08
Tl  0.2384  0.2500  0.9890  6 Pd 2.75-2.78
Tl  0.7617  0.7500  0.0110  6 Pd 2.75-2.78
Tl  0.9735  0.7500  0.6697  6 Pd 2.86-3.08
Pd  0.1360  0.7500  0.1403  5 Tl 2.75-2.96, 1 Pd 2.79, 1 Pb 2.89
Pd  0.2538  0.7500  0.5060  2 Pd 2.79-2.81, 3 Tl 2.86-2.90, 3 Pb 2.88-2.90
Pd  0.3842  0.7500  0.8739  4 Tl 2.77-3.08, 1 Pd 2.81, 2 Pb 2.94
Pd  0.6158  0.2500  0.1261  4 Tl 2.77-3.08, 1 Pd 2.81, 2 Pb 2.94
Pd  0.7462  0.2500  0.4940  2 Pd 2.79-2.81, 3 Tl 2.86-2.90, 3 Pb 2.88-2.90
Pd  0.8640  0.2500  0.8597  5 Tl 2.75-2.96, 1 Pd 2.79, 1 Pb 2.89
Pb  0.4764  0.2500  0.6770  6 Pd 2.88-2.94
Pb  0.5236  0.7500  0.3230  6 Pd 2.88-2.94

Summary:
Density of states at the Fermi level = 2.32 states/eV/f.u.
Space group = P2_1/m, No. 11
Size of the total moment = 0.00 Bohr magnetons per cell
Energy of formation = -176 meV/atom
E_tot = -4.18 eV per atom

***

A plane-wave DFT calculation with PBE was carried out for a relaxed structure of Tl3Pd6Pb.

Unit cell a=8.2022 b=8.2022 c=6.0930 alpha=90.00 beta=90.00 gamma=102.23
Last column: nearest neighbours and their distance in Å.
Fractional positions:
Tl  0.0798  0.9202  0.5000  6 Pd 2.79-2.94
Tl  0.2219  0.3536  0.2445  7 Pd 2.75-2.94
Tl  0.3536  0.2219  0.7445  7 Pd 2.75-2.94
Tl  0.6464  0.7781  0.2445  7 Pd 2.75-2.94
Tl  0.7781  0.6464  0.7445  7 Pd 2.75-2.94
Tl  0.9202  0.0798  0.0000  6 Pd 2.79-2.94
Pd  0.0132  0.5538  0.4679  3 Pd 2.74-2.85, 3 Tl 2.78-2.94, 1 Pb 3.02
Pd  0.0319  0.2403  0.6065  4 Pd 2.74-2.87, 4 Tl 2.75-2.81
Pd  0.2403  0.0319  0.1065  4 Pd 2.74-2.87, 4 Tl 2.75-2.81
Pd  0.2934  0.7066  0.2174  1 Pb 2.76, 6 Pd 2.82-3.06, 2 Tl 2.83
Pd  0.4462  0.9868  0.4679  3 Pd 2.74-2.85, 3 Tl 2.78-2.94, 1 Pb 3.02
Pd  0.4880  0.5120  0.5100  4 Tl 2.79-2.80, 2 Pb 2.84-3.07, 4 Pd 3.06
Pd  0.5120  0.4880  0.0100  4 Tl 2.79-2.80, 2 Pb 2.84-3.07, 4 Pd 3.06
Pd  0.5538  0.0132  0.9679  3 Pd 2.74-2.85, 3 Tl 2.78-2.94, 1 Pb 3.02
Pd  0.7066  0.2934  0.7174  1 Pb 2.76, 6 Pd 2.82-3.06, 2 Tl 2.83
Pd  0.7597  0.9681  0.6065  4 Pd 2.74-2.87, 4 Tl 2.75-2.81
Pd  0.9681  0.7597  0.1065  4 Pd 2.74-2.87, 4 Tl 2.75-2.81
Pd  0.9868  0.4462  0.9679  3 Pd 2.74-2.85, 3 Tl 2.78-2.94, 1 Pb 3.02
Pb  0.3018  0.6982  0.7650  5 Pd 2.76-3.07
Pb  0.6982  0.3018  0.2650  5 Pd 2.76-3.07

Summary:
Density of states at the Fermi level = 3.56 states/eV/f.u.
Space group = Cmc2_1, No. 36
Size of the total moment = 0.00 Bohr magnetons per cell
Energy of formation = -105 meV/atom
E_tot = -4.30 eV per atom

***

A plane-wave DFT calculation with PBE was carried out for a relaxed structure of ZrTlPdPb2.

Unit cell a=5.6395 b=5.6395 c=5.5180 alpha=90.00 beta=90.00 gamma=90.00
Last column: nearest neighbours and their distance in Å.
Fractional positions:
Zr  0.0000  0.0000  0.0000  2 Tl 2.76
Tl  0.0000  0.0000  0.5000  2 Zr 2.76, 4 Pb 2.82
Pd  0.5000  0.5000  0.0000  8 Pb 3.94, 4 Zr 3.99
Pb  0.0000  0.5000  0.5000  2 Tl 2.82
Pb  0.5000  0.0000  0.5000  2 Tl 2.82

Summary:
Density of states at the Fermi level = 4.42 states/eV/f.u.
Space group = P4/mmm, No. 123
Size of the total moment = 0.00 Bohr magnetons per cell
Energy of formation = 1173 meV/atom
E_tot = -3.53 eV per atom

***

A plane-wave DFT calculation with PBE was carried out for a relaxed structure of TmPdPb.

Unit cell a=11.7218 b=11.7218 c=11.7218 alpha=162.21 beta=162.21 gamma=25.27
Last column: nearest neighbours and their distance in Å.
Fractional positions:
Tm  0.1588  0.1588  0.0000  5 Pd 2.87-2.88
Tm  0.8412  0.8412  0.0000  5 Pd 2.87-2.88
Pd  0.2849  0.2849  0.0000  5 Tm 2.87-2.88, 4 Pd 3.02
Pd  0.7151  0.7151  0.0000  5 Tm 2.87-2.88, 4 Pd 3.02
Pb  0.4314  0.4314  0.0000  1 Pb 3.14, 4 Tm 3.29, 1 Pd 3.35
Pb  0.5686  0.5686  0.0000  1 Pb 3.14, 4 Tm 3.29, 1 Pd 3.35

Summary:
Density of states at the Fermi level = 2.14 states/eV/f.u.
Space group = I4/mmm, No. 139
Size of the total moment = 0.00 Bohr magnetons per cell
Energy of formation = -554 meV/atom
E_tot = -5.01 eV per atom

***

A plane-wave DFT calculation with PBE was carried out for a relaxed structure of TmPd8Pb2.

Unit cell a=7.8165 b=7.8165 c=6.6380 alpha=108.68 beta=108.68 gamma=30.93
Last column: nearest neighbours and their distance in Å.
Fractional positions:
Tm  0.0000  0.0000  0.0000  12 Pd 2.88-2.94
Pd  0.0862  0.0862  0.4577  8 Pd 2.80-3.00, 2 Pb 2.85, 1 Tm 2.88
Pd  0.1759  0.1759  0.9177  3 Pb 2.74-2.87, 1 Tm 2.88, 7 Pd 2.90-2.98
Pd  0.3617  0.3617  0.8076  7 Pd 2.88-3.12, 2 Tm 2.92, 3 Pb 2.94-2.97
Pd  0.4619  0.4619  0.2725  9 Pd 2.80-2.99, 1 Pb 2.82, 2 Tm 2.94
Pd  0.5381  0.5381  0.7275  9 Pd 2.80-2.99, 1 Pb 2.82, 2 Tm 2.94
Pd  0.6383  0.6383  0.1924  7 Pd 2.88-3.12, 2 Tm 2.92, 3 Pb 2.94-2.97
Pd  0.8241  0.8241  0.0823  3 Pb 2.74-2.87, 1 Tm 2.88, 7 Pd 2.90-2.98
Pd  0.9138  0.9138  0.5423  8 Pd 2.80-3.00, 2 Pb 2.85, 1 Tm 2.88
Pb  0.2862  0.2862  0.3386  9 Pd 2.74-2.97
Pb  0.7138  0.7138  0.6614  9 Pd 2.74-2.97

Summary:
Density of states at the Fermi level = 5.38 states/eV/f.u.
Space group = C2/m, No. 12
Size of the total moment = 0.00 Bohr magnetons per cell
Energy of formation = -435 meV/atom
E_tot = -5.29 eV per atom

***

A plane-wave DFT calculation with PBE was carried out for a relaxed structure of Tm5PdPb4.

Unit cell a=7.4532 b=7.4532 c=7.4532 alpha=100.03 beta=100.03 gamma=130.68
Last column: nearest neighbours and their distance in Å.
Fractional positions:
Tm  0.0000  0.0000  0.0000  2 Pd 3.07-3.15, 4 Pb 3.11
Tm  0.1103  0.4783  0.8252  1 Pd 2.85, 5 Pb 3.10-3.15
Tm  0.2851  0.1103  0.6319  1 Pd 2.85, 5 Pb 3.10-3.15
Tm  0.4783  0.6532  0.3681  1 Pd 2.85, 5 Pb 3.10-3.15
Tm  0.6532  0.2851  0.1748  1 Pd 2.85, 5 Pb 3.10-3.15
Pd  0.4941  0.4941  0.0000  6 Tm 2.85-3.15
Pb  0.1804  0.7939  0.2196  6 Tm 3.10-3.15
Pb  0.5742  0.9608  0.7804  6 Tm 3.10-3.15
Pb  0.7939  0.5742  0.6135  6 Tm 3.10-3.15
Pb  0.9608  0.1804  0.3865  6 Tm 3.10-3.15

Summary:
Density of states at the Fermi level = 7.64 states/eV/f.u.
Space group = I4, No. 79
Size of the total moment = 0.00 Bohr magnetons per cell
Energy of formation = -343 meV/atom
E_tot = -4.58 eV per atom

***

A plane-wave DFT calculation with PBE was carried out for a relaxed structure of TmPdPb.

Unit cell a=4.7375 b=4.7375 c=3.5311 alpha=90.00 beta=90.00 gamma=120.00
Last column: nearest neighbours and their distance in Å.
Fractional positions:
Tm  0.0000  0.0000  0.0000  6 Pb 3.26, 6 Pd 3.26, 2 Tm 3.53
Pd  0.3333  0.6667  0.5000  3 Pb 2.74
Pb  0.6667  0.3333  0.5000  3 Pd 2.74

Summary:
Density of states at the Fermi level = 2.25 states/eV/f.u.
Space group = P-6m2, No. 187
Size of the total moment = 0.00 Bohr magnetons per cell
Energy of formation = -606 meV/atom
E_tot = -5.06 eV per atom